No. 1
# PBE LuPdSe2, optimized geometry
# raw formation energy	-0.3591	eV per atom
# size of the total moment	0.00	μB/f.u.
# calculated total energy	-54.358	eV for the cell shown
data_LuPdSe2
_cell_length_a 3.7801
_cell_length_b 3.7801
_cell_length_c 24.5627
_cell_angle_alpha 90.00
_cell_angle_beta 90.00
_cell_angle_gamma 120.00
_symmetry_space_group_name_H-M 'R -3 m'
_symmetry_Int_Tables_number 166
_symmetry_space_group_name_Hall '-R 3 2"'
loop_
_atom_site_label
_atom_site_type_symbol
_atom_site_fract_x
_atom_site_fract_y
_atom_site_fract_z
_atom_site_occupancy
Lu1 Lu 0.0000 0.0000 0.0000 1
Pd1 Pd 0.0000 0.0000 0.5000 1
Se1 Se 0.0000 0.0000 0.1112 1

***

No. 2
# PBE NaPH2Pd, optimized geometry
# size of the total moment	1.10	μB/f.u.
# calculated total energy	-15.613	eV for the cell shown
data_NaPH2Pd
_cell_length_a 3.626
_cell_length_b 3.626
_cell_length_c 5.711
_cell_angle_alpha 90.00
_cell_angle_beta 90.00
_cell_angle_gamma 90.00
_symmetry_space_group_name_H-M 'P 4/m m m'
_symmetry_Int_Tables_number 123
_symmetry_space_group_name_Hall '-P 4 2'
loop_
_atom_site_label
_atom_site_type_symbol
_atom_site_fract_x
_atom_site_fract_y
_atom_site_fract_z
_atom_site_occupancy
Na1 Na 0.000 0.000 0.000 1
P1 P 0.500 0.500 0.000 1
H1 H 0.000 0.500 0.500 1
Pd1 Pd 0.000 0.000 0.500 1

***

No. 3
# PBE Cd4Se3S, optimized geometry
# raw formation energy	-0.6285	eV per atom
# size of the total moment	0.00	μB/f.u.
# calculated total energy	-46.540	eV for the cell shown
data_Cd4Se3S
_cell_length_a 8.673
_cell_length_b 7.503
_cell_length_c 7.070
_cell_angle_alpha 90.00
_cell_angle_beta 90.00
_cell_angle_gamma 90.00
_symmetry_space_group_name_H-M 'P m n 21'
_symmetry_Int_Tables_number 31
loop_
_symmetry_equiv_pos_as_xyz
'x,y,z'
'-x+1/2,-y,z+1/2'
'-x,y,z'
'x+1/2,-y,z+1/2'
loop_
_atom_site_label
_atom_site_type_symbol
_atom_site_fract_x
_atom_site_fract_y
_atom_site_fract_z
_atom_site_occupancy
Cd1 Cd 0.000 0.155 0.000 1
Cd2 Cd 0.000 0.830 0.515 1
Cd3 Cd 0.244 0.671 0.999 1
Se1 Se 0.000 0.163 0.380 1
Se2 Se 0.249 0.332 0.879 1
S1 S 0.000 0.831 0.880 1

***

No. 4
# PBE RbSr2Te2, optimized geometry
# raw formation energy	-1.1340	eV per atom
# energy above the lowest structure with this stoichiometry	30	meV/atom
# size of the total moment	0.97	μB/f.u.
# calculated total energy	-32.569	eV for the cell shown
data_RbSr2Te2
_cell_length_a 6.238
_cell_length_b 6.238
_cell_length_c 12.700
_cell_angle_alpha 90.00
_cell_angle_beta 90.00
_cell_angle_gamma 90.00
_symmetry_space_group_name_H-M 'I 4/m m m'
_symmetry_Int_Tables_number 139
_symmetry_space_group_name_Hall '-I 4 2'
loop_
_atom_site_label
_atom_site_type_symbol
_atom_site_fract_x
_atom_site_fract_y
_atom_site_fract_z
_atom_site_occupancy
Rb1 Rb 0.000 0.000 0.000 1
Sr1 Sr 0.000 0.000 0.326 1
Te1 Te 0.000 0.500 0.250 1

***

- Which value of size of the total moment does entry 1 give?
  0.00 μB/f.u.

***

Copy entry 3 word for word.
# PBE Cd4Se3S, optimized geometry
# raw formation energy	-0.6285	eV per atom
# size of the total moment	0.00	μB/f.u.
# calculated total energy	-46.540	eV for the cell shown
data_Cd4Se3S
_cell_length_a 8.673
_cell_length_b 7.503
_cell_length_c 7.070
_cell_angle_alpha 90.00
_cell_angle_beta 90.00
_cell_angle_gamma 90.00
_symmetry_space_group_name_H-M 'P m n 21'
_symmetry_Int_Tables_number 31
loop_
_symmetry_equiv_pos_as_xyz
'x,y,z'
'-x+1/2,-y,z+1/2'
'-x,y,z'
'x+1/2,-y,z+1/2'
loop_
_atom_site_label
_atom_site_type_symbol
_atom_site_fract_x
_atom_site_fract_y
_atom_site_fract_z
_atom_site_occupancy
Cd1 Cd 0.000 0.155 0.000 1
Cd2 Cd 0.000 0.830 0.515 1
Cd3 Cd 0.244 0.671 0.999 1
Se1 Se 0.000 0.163 0.380 1
Se2 Se 0.249 0.332 0.879 1
S1 S 0.000 0.831 0.880 1